# 1
Entry from Alexandria via LeMat-Bulk: crystalline Nd2Ga2Sn at its relaxed geometry (PBE-GGA).

Computed properties:
ΔE_f = -676 meV per atom
ΔE to the lowest computed polymorph = 0.0000 eV per atom
density = 7.216 g cm⁻³

Cell and atoms, written as CIF:
```
data_Nd2Ga2Sn
_space_group_name_H-M_alt 'P 4/m b m'
_space_group_IT_number 127
_space_group_name_Hall '-P 4 2ab'
_cell_length_a 7.436
_cell_length_b 7.436
_cell_length_c 4.550
_cell_angle_alpha 90.00
_cell_angle_beta 90.00
_cell_angle_gamma 90.00
loop_
_atom_site_label
_atom_site_type_symbol
_atom_site_fract_x
_atom_site_fract_y
_atom_site_fract_z
Nd1 Nd 0.174 0.326 0.000
Ga1 Ga 0.122 0.622 0.500
Sn1 Sn 0.000 0.000 0.500
```

***

# 2
Entry from Alexandria via LeMat-Bulk: crystalline BeInGaS2 at its relaxed geometry (PBE-GGA).

Computed properties:
ΔE to the lowest computed polymorph = 0.0000 eV per atom
density = 3.664 g cm⁻³

Cell and atoms, written as CIF:
```
data_BeInGaS2
_space_group_name_H-M_alt 'P 4/m m m'
_space_group_IT_number 123
_space_group_name_Hall '-P 4 2'
_cell_length_a 4.594
_cell_length_b 4.594
_cell_length_c 5.534
_cell_angle_alpha 90.00
_cell_angle_beta 90.00
_cell_angle_gamma 90.00
loop_
_atom_site_label
_atom_site_type_symbol
_atom_site_fract_x
_atom_site_fract_y
_atom_site_fract_z
Be1 Be 0.000 0.000 0.000
In1 In 0.000 0.000 0.500
Ga1 Ga 0.500 0.500 0.500
S1 S 0.000 0.500 0.000
```

***

# 3
Entry from Alexandria via LeMat-Bulk: crystalline Na2LaTaPd at its relaxed geometry (PBE-GGA).

Computed properties:
ΔE_f = 623 meV per atom
ΔE to the lowest computed polymorph = 0.0000 eV per atom
density = 5.816 g cm⁻³

Cell and atoms, written as CIF:
```
data_Na2LaTaPd
_space_group_name_H-M_alt 'P 4/m m m'
_space_group_IT_number 123
_space_group_name_Hall '-P 4 2'
_cell_length_a 5.168
_cell_length_b 5.168
_cell_length_c 5.049
_cell_angle_alpha 90.00
_cell_angle_beta 90.00
_cell_angle_gamma 90.00
loop_
_atom_site_label
_atom_site_type_symbol
_atom_site_fract_x
_atom_site_fract_y
_atom_site_fract_z
Na1 Na 0.000 0.500 0.000
La1 La 0.000 0.000 0.500
Ta1 Ta 0.500 0.500 0.500
Pd1 Pd 0.500 0.500 0.000
```

***

# 4
Entry from Alexandria via LeMat-Bulk: crystalline InAgIr2 at its relaxed geometry (PBE-GGA).

Computed properties:
ΔE_f = 303 meV per atom
density = 15.041 g cm⁻³

Cell and atoms, written as CIF:
```
data_InAgIr2
_space_group_name_H-M_alt 'R -3 m'
_space_group_IT_number 166
_space_group_name_Hall '-R 3 2"'
_cell_length_a 2.9326
_cell_length_b 2.9326
_cell_length_c 26.9978
_cell_angle_alpha 90.00
_cell_angle_beta 90.00
_cell_angle_gamma 120.00
loop_
_atom_site_label
_atom_site_type_symbol
_atom_site_fract_x
_atom_site_fract_y
_atom_site_fract_z
In1 In 0.0000 0.0000 0.0000
Ag1 Ag 0.0000 0.0000 0.5000
Ir1 Ir 0.0000 0.0000 0.2524
```

***

# 5
Entry from Alexandria via LeMat-Bulk: crystalline LiPbI2 at its relaxed geometry (PBE-GGA).

Computed properties:
ΔE to the lowest computed polymorph = 0.0672 eV per atom
density = 5.451 g cm⁻³

Cell and atoms, written as CIF:
```
data_LiPbI2
_space_group_name_H-M_alt 'I -4 2 d'
_space_group_IT_number 122
_space_group_name_Hall 'I -4 2bw'
_cell_length_a 8.145
_cell_length_b 8.145
_cell_length_c 8.595
_cell_angle_alpha 90.00
_cell_angle_beta 90.00
_cell_angle_gamma 90.00
loop_
_atom_site_label
_atom_site_type_symbol
_atom_site_fract_x
_atom_site_fract_y
_atom_site_fract_z
Li1 Li 0.000 0.000 0.000
Pb1 Pb 0.000 0.000 0.500
I1 I 0.200 0.250 0.125
```

***

# 6
Entry from Alexandria via LeMat-Bulk: crystalline TlTePH at its relaxed geometry (PBE-GGA).

Computed properties:
ΔE to the lowest computed polymorph = 0.2011 eV per atom
density = 5.823 g cm⁻³

Cell and atoms, written as CIF:
```
data_TlTePH
_space_group_name_H-M_alt 'P 1'
_space_group_IT_number 1
_space_group_name_Hall 'P 1'
_cell_length_a 4.324
_cell_length_b 4.366
_cell_length_c 5.713
_cell_angle_alpha 96.05
_cell_angle_beta 97.28
_cell_angle_gamma 101.74
loop_
_atom_site_label
_atom_site_type_symbol
_atom_site_fract_x
_atom_site_fract_y
_atom_site_fract_z
Tl1 Tl 0.000 0.000 0.000
Te1 Te 0.574 0.535 0.463
P1 P 0.569 0.437 0.016
H1 H 0.279 0.741 0.454
```

***

# 7
Entry from Alexandria via LeMat-Bulk: crystalline Ac4Pb2I3 at its relaxed geometry (PBE-GGA).

Computed properties:
ΔE to the lowest computed polymorph = 0.0000 eV per atom
density = 7.064 g cm⁻³

Cell and atoms, written as CIF:
```
data_Ac4Pb2I3
_space_group_name_H-M_alt 'C 1 2/m 1'
_space_group_IT_number 12
_space_group_name_Hall '-C 2y'
_cell_length_a 8.488
_cell_length_b 4.901
_cell_length_c 19.248
_cell_angle_alpha 90.00
_cell_angle_beta 90.07
_cell_angle_gamma 90.00
loop_
_atom_site_label
_atom_site_type_symbol
_atom_site_fract_x
_atom_site_fract_y
_atom_site_fract_z
Ac1 Ac 0.001 0.000 0.296
Ac2 Ac 0.166 0.500 0.891
Pb1 Pb 0.167 0.500 0.201
I1 I 0.000 0.000 0.000
I2 I 0.166 0.500 0.601
```

***

# 8
Entry from Alexandria via LeMat-Bulk: crystalline Ho2Ga5Ni5 at its relaxed geometry (PBE-GGA).

Computed properties:
ΔE_f = -510 meV per atom
ΔE to the lowest computed polymorph = 0.0405 eV per atom
density = 8.692 g cm⁻³

Cell and atoms, written as CIF:
```
data_Ho2Ga5Ni5
_space_group_name_H-M_alt 'P m m m'
_space_group_IT_number 47
_space_group_name_Hall '-P 2 2'
_cell_length_a 3.887
_cell_length_b 5.181
_cell_length_c 9.222
_cell_angle_alpha 90.00
_cell_angle_beta 90.00
_cell_angle_gamma 90.00
loop_
_atom_site_label
_atom_site_type_symbol
_atom_site_fract_x
_atom_site_fract_y
_atom_site_fract_z
Ho1 Ho 0.000 0.000 0.000
Ho2 Ho 0.000 0.500 0.500
Ga1 Ga 0.000 0.000 0.314
Ga2 Ga 0.000 0.500 0.167
Ga3 Ga 0.500 0.000 0.500
Ni1 Ni 0.500 0.256 0.254
Ni2 Ni 0.500 0.500 0.000
```